Entry 1:
CaRe3Ru: relaxed, PBE.

Cell: 4.7392 4.7392 4.7392 Å, 90.00 90.00 90.00°
With the nearest neighbours (Å) after each atom.
Positions (direct):
Re (0.0000, 0.5000, 0.0000)  2 Ru 2.37
Re (0.0000, 0.0000, 0.5000)  2 Ru 2.37
Re (0.5000, 0.0000, 0.0000)  2 Ru 2.37
Ca (0.5000, 0.5000, 0.5000)  12 Re 3.35
Ru (0.0000, 0.0000, 0.0000)  6 Re 2.37

Summary:
The value obtained for the excess energy over the best structure of this formula in the dataset is 0.000 eV/f.u. The calculated volume is 106 Å³ per cell. The formation enthalpy at 0 K is 1.654 eV per atom.

***

Entry 2:
V6Ga3N: relaxed, PBE.

Cell: 6.5309 6.5309 6.5309 Å, 77.35 77.35 77.35°
With the nearest neighbours (Å) after each atom.
Positions (direct):
V (0.2051, 0.8589, 0.2050)  1 N 2.03
V (0.1411, 0.7950, 0.7949)  1 N 2.03
V (0.4698, 0.8135, 0.4697)  1 N 1.98
V (0.7950, 0.7949, 0.1411)  1 N 2.03
V (0.4697, 0.4698, 0.8135)  1 N 1.98
V (0.1865, 0.5303, 0.5302)  1 N 1.98
V (0.8135, 0.4697, 0.4698)  1 N 1.98
V (0.5303, 0.5302, 0.1865)  1 N 1.98
V (0.2050, 0.2051, 0.8589)  1 N 2.03
V (0.5302, 0.1865, 0.5303)  1 N 1.98
V (0.8589, 0.2050, 0.2051)  1 N 2.03
V (0.7949, 0.1411, 0.7950)  1 N 2.03
Ga (0.5234, 0.8593, 0.8593)  9 V 2.68-2.75, 3 Ga 2.74-2.80
Ga (0.8593, 0.8593, 0.5234)  9 V 2.68-2.75, 3 Ga 2.74-2.80
Ga (0.1407, 0.4766, 0.1407)  9 V 2.68-2.75, 3 Ga 2.74-2.80
Ga (0.8593, 0.5234, 0.8593)  9 V 2.68-2.75, 3 Ga 2.74-2.80
Ga (0.1407, 0.1407, 0.4766)  9 V 2.68-2.75, 3 Ga 2.74-2.80
Ga (0.4766, 0.1407, 0.1407)  9 V 2.68-2.75, 3 Ga 2.74-2.80
N (0.0000, 0.0000, 0.0000)  6 V 2.03
N (0.5000, 0.5000, 0.5000)  6 V 1.98

Summary:
The calculation puts the uncorrected formation energy at -0.371 eV per atom. The calculated volume is 261 Å³ per cell.

***

Entry 3:
LiZn3I: relaxed, PBE.

Cell: 5.1274 5.1274 5.1274 Å, 90.00 90.00 90.00°
With the nearest neighbours (Å) after each atom.
Positions (direct):
I (0.5000, 0.5000, 0.5000)  12 Zn 3.63
Zn (0.0000, 0.5000, 0.0000)  2 Li 2.56
Zn (0.0000, 0.0000, 0.5000)  2 Li 2.56
Zn (0.5000, 0.0000, 0.0000)  2 Li 2.56
Li (0.0000, 0.0000, 0.0000)  6 Zn 2.56

Summary:
The calculation puts the uncorrected formation energy at 0.242 eV per atom. The value obtained for the excess energy over the best structure of this formula in the dataset is 0.000 eV/f.u. The calculated volume is 135 Å³ per cell.